The following is a DFT calculation (GGA-PBE) of crystalline HgCO3 at its relaxed geometry.

Computed properties:
**Energy**: -0.2131 Ry/atom
**Space group**: R-3m (166)
**Crystal system**: trigonal

a = 4.514 Å, b = 4.514 Å, c = 4.514 Å
α = 58.59°, β = 58.59°, γ = 58.59°
Fractional coordinates of all 5 atoms:
C1 0.500 0.500 0.500
Hg1 0.000 0.000 0.000
O1 0.500 0.000 0.000
O2 0.000 0.500 0.000
O3 0.000 0.000 0.500



The following is a DFT calculation (GGA-PBE) of crystalline PrMg8 at its relaxed geometry.

Computed properties:
**Energy**: -0.1379 Ry/atom
**Space group**: Fddd (70)
**Crystal system**: orthorhombic
**E above lowest polymorph**: 0.00 kJ/mol of atoms

a = 12.053 Å, b = 11.761 Å, c = 6.494 Å
α = 76.67°, β = 71.71°, γ = 31.62°
Fractional coordinates of all 18 atoms:
Mg1 0.712 0.710 0.067
Mg2 0.538 0.540 0.183
Mg3 0.906 0.314 0.314
Mg4 0.466 0.314 0.314
Mg5 0.936 0.784 0.344
Mg6 0.314 0.906 0.466
Mg7 0.710 0.712 0.511
Mg8 0.183 0.739 0.538
Mg9 0.739 0.183 0.540
Mg10 0.511 0.067 0.710
Mg11 0.067 0.511 0.712
Mg12 0.540 0.538 0.739
Mg13 0.936 0.344 0.784
Mg14 0.314 0.466 0.906
Mg15 0.784 0.936 0.936
Mg16 0.344 0.936 0.936
Pr1 0.000 0.000 0.000
Pr2 0.250 0.250 0.250



The following is a DFT calculation (GGA-PBE) of crystalline NpF at its relaxed geometry.

Computed properties:
**Energy**: -0.6545 Ry/atom
**Space group**: P6_3/mmc (194)
**Crystal system**: hexagonal
**E above lowest polymorph**: 6.53 kJ/mol of atoms

a = 3.834 Å, b = 3.834 Å, c = 5.073 Å
α = 90.00°, β = 90.00°, γ = 120.00°
Fractional coordinates of all 4 atoms:
F1 0.000 0.000 0.000
F2 0.000 0.000 0.500
Np1 0.333 0.667 0.250
Np2 0.667 0.333 0.750



The following is a DFT calculation (GGA-PBE) of crystalline YHf2Sn at its relaxed geometry.

Computed properties:
**Energy**: -0.5607 Ry/atom
**Space group**: F-43m (216)
**Crystal system**: cubic

a = 5.107 Å, b = 5.107 Å, c = 5.107 Å
α = 60.00°, β = 60.00°, γ = 60.00°
Fractional coordinates of all 4 atoms:
Hf1 0.000 0.000 0.000
Hf2 0.750 0.750 0.750
Sn1 0.500 0.500 0.500
Y1 0.250 0.250 0.250



The following is a DFT calculation (GGA-PBE) of crystalline Tb3ErIr8 at its relaxed geometry.

Computed properties:
**Energy**: -0.6066 Ry/atom
**Calculated formation energy**: -0.81 eV per atom
**Space group**: R3m (160)
**Crystal system**: trigonal

a = 9.262 Å, b = 9.262 Å, c = 9.262 Å
α = 33.58°, β = 33.58°, γ = 33.58°
Fractional coordinates of all 12 atoms:
Er1 0.875 0.875 0.875
Ir1 0.188 0.188 0.188
Ir2 0.937 0.437 0.437
Ir3 0.437 0.937 0.437
Ir4 0.938 0.938 0.438
Ir5 0.688 0.688 0.688
Ir6 0.437 0.437 0.937
Ir7 0.938 0.438 0.938
Ir8 0.438 0.938 0.938
Tb1 0.375 0.375 0.375
Tb2 0.500 0.500 0.500
Tb3 0.000 0.000 0.000



Here are the calculated density numbers, same order: 6.87, 2.44, 13.16, 9.96, 16.74 (g cm⁻³).